Entry 1:
Below is a relaxed LiGaAg5 crystal, with properties calculated at the PBE level. Values from VASP.

Cell and atoms, written as Quantum ESPRESSO input:
```
&SYSTEM
  ibrav = 0, nat = 14, ntyp = 3
/
ATOMIC_SPECIES
Li 6.94 Li.upf
Ga 69.72 Ga.upf
Ag 107.87 Ag.upf
CELL_PARAMETERS angstrom
7.947 -0.379 0.922
2.162 7.657 0.922
4.546 3.272 4.975
ATOMIC_POSITIONS angstrom
Li 6.498 4.031 2.165
Li 8.157 6.520 4.653
Ga 0.000 0.000 0.000
Ga 2.273 1.636 2.487
Ag 7.472 6.634 1.750
Ag 5.574 6.058 3.670
Ag 10.934 6.618 4.238
Ag 7.992 1.956 2.165
Ag 9.414 8.822 5.635
Ag 5.241 1.728 1.183
Ag 6.663 8.595 4.653
Ag 3.720 3.933 2.581
Ag 9.080 4.493 3.148
Ag 7.183 3.917 5.068
```

Computed properties:
DOS(E_F) = 1.60 states/eV/f.u.
ΔE to the lowest computed polymorph = 0.064 eV/atom
Symmetry = C2/c
Formation energy from the elements = 0.041 eV per atom

---

Entry 2:
Below is a relaxed Tm4TlPd3 crystal, with properties calculated at the PBE level. Values from VASP.

Cell and atoms, written as Quantum ESPRESSO input:
```
&SYSTEM
  ibrav = 0, nat = 16, ntyp = 3
/
ATOMIC_SPECIES
Tl 204.38 Tl.upf
Tm 168.93 Tm.upf
Pd 106.42 Pd.upf
CELL_PARAMETERS angstrom
4.995 0.000 0.000
0.000 7.096 0.000
0.000 0.000 9.993
ATOMIC_POSITIONS angstrom
Tl 0.000 3.548 0.000
Tl 0.000 3.548 4.997
Tm 2.498 5.418 0.000
Tm 2.498 5.418 4.997
Tm 2.498 1.678 0.000
Tm 2.498 1.678 4.997
Tm 0.001 5.417 7.495
Tm 4.994 5.417 2.498
Tm 4.994 1.679 2.498
Tm 0.001 1.679 7.495
Pd 0.000 0.000 0.000
Pd 0.000 0.000 4.997
Pd 2.500 0.000 7.495
Pd 2.495 0.000 2.498
Pd 2.500 3.548 7.495
Pd 2.495 3.548 2.498
```

Computed properties:
DOS(E_F) = 3.66 states/eV/f.u.
Symmetry = P4/mmm
Formation energy from the elements = -0.753 eV per atom

---

Entry 3:
Below is a relaxed Ca2LaZn crystal, with properties calculated at the PBE level. Values from VASP.

Cell and atoms, written as Quantum ESPRESSO input:
```
&SYSTEM
  ibrav = 0, nat = 4, ntyp = 3
/
ATOMIC_SPECIES
Zn 65.41 Zn.upf
Ca 40.08 Ca.upf
La 138.91 La.upf
CELL_PARAMETERS angstrom
6.157 -0.099 0.000
-2.076 5.798 0.000
0.000 0.000 3.690
ATOMIC_POSITIONS angstrom
Zn -1.038 2.899 1.845
Ca 0.000 0.000 0.000
Ca 2.041 2.850 0.000
La 3.079 -0.049 1.845
```

Computed properties:
DOS(E_F) = 3.82 states/eV/f.u.
Symmetry = Cmmm
Formation energy from the elements = 0.100 eV per atom